VASP calculation (PBE) on crystalline HfScAlSi2 at its relaxed geometry.

Cell lengths 5.0456, 5.1721, 5.0456 Å; angles 90.00, 90.00, 90.00 degrees
With the nearest neighbours (Å) after each atom.
Atoms (fractional coordinates):
Hf  0.0000  0.0000  0.0000  4 Si 2.52, 2 Sc 2.59
Al  0.5000  0.5000  0.5000  4 Sc 3.57, 8 Si 3.61
Si  0.0000  0.0000  0.5000  2 Hf 2.52
Sc  0.0000  0.5000  0.0000  2 Hf 2.59
Si  0.5000  0.0000  0.0000  2 Hf 2.52

Properties
spin magnetization = 0.0 μB per formula unit
D(E_F) = 4.44 states/eV/cell
energy relative to the elements, uncorrected = 0.850 eV per atom
E_tot = -26.62 eV/cell